1.
A plane-wave DFT calculation with PBE-GGA was carried out for an optimized crystal structure of NbSi. Values from VASP.

Summary:
Calculated total energy   -8.09 eV/atom
Size of the total moment   0.00 μB/f.u.
Space group   P-6m2, No. 187

The structure in Quantum ESPRESSO input format:
```
&SYSTEM
  ibrav = 0, nat = 2, ntyp = 2
/
ATOMIC_SPECIES
Nb 92.91 Nb.upf
Si 28.09 Si.upf
CELL_PARAMETERS angstrom
-1.009 -2.346 1.646
2.912 0.113 -0.859
0.928 1.993 3.409
ATOMIC_POSITIONS crystal
Nb 0.667 0.333 0.750
Si 0.333 0.667 0.250
```

***

2.
A plane-wave DFT calculation with PBE-GGA was carried out for an optimized crystal structure of Nb2Si. Values from VASP.

Summary:
Calculated total energy   -8.10 eV/atom
Size of the total moment   0.00 μB/f.u.
Space group   Fd-3m, No. 227

The structure in Quantum ESPRESSO input format:
```
&SYSTEM
  ibrav = 0, nat = 6, ntyp = 2
/
ATOMIC_SPECIES
Nb 92.91 Nb.upf
Si 28.09 Si.upf
CELL_PARAMETERS angstrom
-1.721 2.926 4.167
-5.165 -0.198 1.472
-1.395 -2.422 4.591
ATOMIC_POSITIONS crystal
Nb 0.625 0.625 0.625
Nb 0.625 0.625 0.125
Nb 0.125 0.625 0.625
Nb 0.625 0.125 0.625
Si 0.000 0.000 0.000
Si 0.250 0.250 0.250
```

***

3.
A plane-wave DFT calculation with PBE-GGA was carried out for an optimized crystal structure of NbSi. Values from VASP.

Summary:
Calculated total energy   -7.98 eV/atom
Size of the total moment   0.00 μB/f.u.
Space group   Fm-3m, No. 225

The structure in Quantum ESPRESSO input format:
```
&SYSTEM
  ibrav = 0, nat = 2, ntyp = 2
/
ATOMIC_SPECIES
Nb 92.91 Nb.upf
Si 28.09 Si.upf
CELL_PARAMETERS angstrom
2.502 1.925 1.812
-0.077 0.117 3.637
2.567 -1.712 1.931
ATOMIC_POSITIONS crystal
Nb 0.000 0.000 0.000
Si 0.500 0.500 0.500
```

***

4.
A plane-wave DFT calculation with PBE-GGA was carried out for an optimized crystal structure of NbSi2. Values from VASP.

Summary:
Calculated total energy   -6.97 eV/atom
Size of the total moment   0.00 μB/f.u.
Space group   P6_3/mmc, No. 194

The structure in Quantum ESPRESSO input format:
```
&SYSTEM
  ibrav = 0, nat = 12, ntyp = 2
/
ATOMIC_SPECIES
Nb 92.91 Nb.upf
Si 28.09 Si.upf
CELL_PARAMETERS angstrom
-2.430 3.506 2.588
-1.895 -1.694 -4.293
-3.919 -5.634 3.953
ATOMIC_POSITIONS crystal
Nb 0.667 0.333 0.055
Nb 0.333 0.667 0.555
Nb 0.333 0.667 0.945
Nb 0.667 0.333 0.445
Si 0.000 0.000 0.500
Si 0.172 0.828 0.250
Si 0.000 0.000 0.000
Si 0.343 0.172 0.750
Si 0.828 0.657 0.750
Si 0.657 0.828 0.250
Si 0.172 0.343 0.250
Si 0.828 0.172 0.750
```

***

5.
A plane-wave DFT calculation with PBE-GGA was carried out for an optimized crystal structure of SmNbSi. Values from VASP.

Summary:
Calculated total energy   -5.72 eV/atom
Size of the total moment   3.65 μB/f.u.
Space group   F-43m, No. 216

The structure in Quantum ESPRESSO input format:
```
&SYSTEM
  ibrav = 0, nat = 3, ntyp = 3
/
ATOMIC_SPECIES
Nb 92.91 Nb.upf
Si 28.09 Si.upf
Sm 150.36 Sm.upf
CELL_PARAMETERS angstrom
-4.776 0.797 0.031
-2.114 2.188 -3.767
-2.895 -2.521 -2.952
ATOMIC_POSITIONS crystal
Nb 0.250 0.250 0.250
Si 0.750 0.750 0.750
Sm 0.000 0.000 0.000
```

***

6.
A plane-wave DFT calculation with PBE-GGA was carried out for an optimized crystal structure of SmNbSi. Values from VASP.

Summary:
Calculated total energy   -6.75 eV/atom
Size of the total moment   1.07 μB/f.u.
Space group   F-43m, No. 216

The structure in Quantum ESPRESSO input format:
```
&SYSTEM
  ibrav = 0, nat = 3, ntyp = 3
/
ATOMIC_SPECIES
Si 28.09 Si.upf
Sm 150.36 Sm.upf
Nb 92.91 Nb.upf
CELL_PARAMETERS angstrom
-0.065 2.208 4.050
-4.027 1.146 1.938
-1.439 -2.189 3.797
ATOMIC_POSITIONS crystal
Si 0.000 0.000 0.000
Sm 0.750 0.750 0.750
Nb 0.250 0.250 0.250
```

***

7.
A plane-wave DFT calculation with PBE-GGA was carried out for an optimized crystal structure of SmTmNb2Si2. Values from VASP.

Summary:
Calculated total energy   -7.31 eV/atom
Size of the total moment   1.11 μB/f.u.
Space group   P4mm, No. 99

The structure in Quantum ESPRESSO input format:
```
&SYSTEM
  ibrav = 0, nat = 6, ntyp = 4
/
ATOMIC_SPECIES
Sm 150.36 Sm.upf
Nb 92.91 Nb.upf
Si 28.09 Si.upf
Tm 168.93 Tm.upf
CELL_PARAMETERS angstrom
4.007 0.000 0.000
0.000 4.007 0.000
0.000 0.000 7.830
ATOMIC_POSITIONS crystal
Sm 0.000 0.000 0.358
Nb 0.500 0.000 0.998
Nb 0.000 0.500 0.998
Si 0.500 0.500 0.235
Si 0.000 0.000 0.760
Tm 0.500 0.500 0.651
```

***

8.
A plane-wave DFT calculation with PBE-GGA was carried out for an optimized crystal structure of NbSiSn. Values from VASP.

Summary:
Offset from the most stable computed form   59 meV/atom
Size of the total moment   0.02 μB/f.u.
Space group   F-43m, No. 216

The structure in Quantum ESPRESSO input format:
```
&SYSTEM
  ibrav = 0, nat = 3, ntyp = 3
/
ATOMIC_SPECIES
Nb 92.91 Nb.upf
Si 28.09 Si.upf
Sn 118.71 Sn.upf
CELL_PARAMETERS angstrom
0.000 3.211 3.211
3.211 0.000 3.211
3.211 3.211 0.000
ATOMIC_POSITIONS crystal
Nb 0.000 0.000 0.000
Si 0.250 0.250 0.250
Sn 0.750 0.750 0.750
```